[1]
The following is a PBE calculation of a geometry-optimized Rb4Tl3SnI8 structure, from the Alexandria database.

Summary:
The calculation puts the final energy at -85.29 eV for the cell shown. Its energy relative to the elements, uncorrected is -0.955 eV per atom.

a = 17.740 Å, b = 10.137 Å, c = 10.200 Å
α = 90.00°, β = 121.92°, γ = 90.00°
Space group C2/m (No. 12)
Asymmetric unit:
Rb 0.000 0.000 0.000
Rb 0.000 0.500 0.000
Rb 0.250 0.250 0.500
Tl 0.000 0.000 0.500
Tl 0.250 0.250 0.000
Sn 0.000 0.500 0.500
I 0.007 0.266 0.733
I 0.232 0.000 0.222
I 0.245 0.000 0.752

***

[2]
The following is a PBE calculation of a geometry-optimized RbTl2Sn2I7 structure, from the Alexandria database.

Summary:
The calculation puts the final energy at -65.72 eV for the cell shown. Its energy relative to the elements, uncorrected is -0.692 eV per atom.

a = 6.178 Å, b = 27.434 Å, c = 7.005 Å
α = 90.00°, β = 90.00°, γ = 90.00°
Space group Imm2 (No. 44)
Asymmetric unit:
Rb 0.000 0.000 0.000
Tl 0.000 0.287 0.527
Sn 0.000 0.389 0.080
I 0.000 0.117 0.674
I 0.000 0.271 0.015
I 0.000 0.410 0.667
I 0.000 0.500 0.181

***

[3]
The following is a PBE calculation of a geometry-optimized Rb4TlSn3I12 structure, from the Alexandria database.

Summary:
The calculation puts the final energy at -108.18 eV for the cell shown. Its energy relative to the elements, uncorrected is -0.862 eV per atom.

a = 12.498 Å, b = 12.498 Å, c = 12.498 Å
α = 90.00°, β = 90.00°, γ = 90.00°
Space group Im-3m (No. 229)
Asymmetric unit:
Rb 0.250 0.250 0.250
Tl 0.000 0.000 0.000
Sn 0.000 0.000 0.500
I 0.000 0.000 0.256
I 0.000 0.250 0.500

***

[4]
The following is a PBE calculation of a geometry-optimized Rb3Tl3SnI8 structure, from the Alexandria database.

Summary:
The calculation puts the final energy at -122.70 eV for the cell shown. Its energy relative to the elements, uncorrected is -0.966 eV per atom.

a = 10.3695 Å, b = 10.3695 Å, c = 24.4879 Å
α = 90.00°, β = 90.00°, γ = 120.00°
Space group R-3m (No. 166, hexagonal axes)
Asymmetric unit:
Rb 0.0000 0.5000 0.0000
Tl 0.0000 0.5000 0.5000
Sn 0.0000 0.0000 0.0000
I 0.0000 0.0000 0.2460
I 0.0395 0.5197 0.7438

***

[5]
The following is a PBE calculation of a geometry-optimized Rb2TlSn2I7 structure, from the Alexandria database.

Summary:
The calculation puts the final energy at -65.78 eV for the cell shown. Its energy relative to the elements, uncorrected is -0.811 eV per atom.

a = 8.771 Å, b = 8.875 Å, c = 15.883 Å
α = 90.00°, β = 105.44°, γ = 90.00°
Space group C2/m (No. 12)
Asymmetric unit:
Rb 0.229 0.000 0.354
Tl 0.000 0.000 0.000
Sn 0.125 0.500 0.207
I 0.000 0.500 0.000
I 0.113 0.234 0.806
I 0.195 0.500 0.408

***

[6]
The following is a PBE calculation of a geometry-optimized Rb2Tl3SnI6 structure, from the Alexandria database.

Summary:
The calculation puts the final energy at -63.56 eV for the cell shown. Its energy relative to the elements, uncorrected is -0.787 eV per atom.

a = 8.528 Å, b = 15.013 Å, c = 9.488 Å
α = 90.00°, β = 112.62°, γ = 90.00°
Space group C2/m (No. 12)
Asymmetric unit:
Rb 0.000 0.156 0.000
Tl 0.000 0.000 0.500
Tl 0.000 0.330 0.500
Sn 0.000 0.500 0.000
I 0.219 0.345 0.239
I 0.245 0.500 0.708

***

[7]
The following is a PBE calculation of a geometry-optimized RbUSnI6 structure, from the Alexandria database.

Summary:
The calculation puts the final energy at -130.26 eV for the cell shown. Its energy relative to the elements, uncorrected is -0.778 eV per atom.

a = 11.325 Å, b = 11.664 Å, c = 16.433 Å
α = 90.00°, β = 90.00°, γ = 90.00°
Space group Imma (No. 74)
Asymmetric unit:
Rb 0.000 0.250 0.050
U 0.000 0.000 0.500
Sn 0.250 0.250 0.750
I 0.000 0.250 0.429
I 0.000 0.250 0.833
I 0.205 0.045 0.623

***

[8]
The following is a PBE calculation of a geometry-optimized RbVSnI6 structure, from the Alexandria database.

Summary:
The calculation puts the final energy at -29.61 eV for the cell shown. Its energy relative to the elements, uncorrected is -0.692 eV per atom.

a = 7.7655 Å, b = 7.7655 Å, c = 8.0672 Å
α = 90.00°, β = 90.00°, γ = 120.00°
Space group P312 (No. 149)
Asymmetric unit:
Rb 0.0000 0.0000 0.0000
V 0.3333 0.6667 0.5000
Sn 0.6667 0.3333 0.5000
I 0.0336 0.3830 0.7024